Entry 1:
A geometry-optimized Ta4ZnAu structure. Source: the Alexandria database, functional PBE.

a = 5.4371 Å, b = 5.4371 Å, c = 5.4371 Å
α = 60.00°, β = 60.00°, γ = 60.00°
Element x y z (fractional)
Ta 0.8714 0.3762 0.3762
Ta 0.3762 0.3762 0.8714
Ta 0.3762 0.8714 0.3762
Ta 0.3762 0.3762 0.3762
Zn 0.7500 0.7500 0.7500
Au 0.0000 0.0000 0.0000

Computed properties:
- calculated volume (Å³/atom) = 18.94
- DFT total energy (eV per atom) = -8.194
- size of the total moment (μB per atom) = 0.000
- DOS at the Fermi energy (states/eV/cell) = 5.4
- ΔE_f (eV/atom) = 0.467

Entry 2:
A geometry-optimized TaZnAu2 structure. Source: the Alexandria database, functional PBE.

a = 2.9508 Å, b = 2.9508 Å, c = 9.3219 Å
α = 80.89°, β = 80.89°, γ = 60.00°
Element x y z (fractional)
Ta 0.4999 0.4999 0.5004
Zn 0.6668 0.6668 0.9996
Au 0.0814 0.0814 0.7559
Au 0.2520 0.2520 0.2441

Computed properties:
- calculated volume (Å³/atom) = 17.28
- DFT total energy (eV per atom) = -4.959
- size of the total moment (μB per atom) = 0.000
- DOS at the Fermi energy (states/eV/cell) = 1.5
- ΔE_f (eV/atom) = -0.038

Entry 3:
A geometry-optimized TaZn2Au structure. Source: the Alexandria database, functional PBE.

a = 2.9161 Å, b = 2.9161 Å, c = 9.2272 Å
α = 80.91°, β = 80.91°, γ = 60.00°
Element x y z (fractional)
Ta 0.5003 0.5003 0.4992
Zn 0.0819 0.0819 0.7544
Zn 0.2513 0.2513 0.2462
Au 0.6666 0.6666 0.0002

Computed properties:
- calculated volume (Å³/atom) = 16.70
- DFT total energy (eV per atom) = -4.402
- size of the total moment (μB per atom) = 0.000
- DOS at the Fermi energy (states/eV/cell) = 3.1
- ΔE_f (eV/atom) = 0.018
- polymorph energy (0 for the lowest one) (meV/atom) = 102

Entry 4:
A geometry-optimized TaZn2Au structure. Source: the Alexandria database, functional PBE.

a = 9.3740 Å, b = 9.3740 Å, c = 9.3740 Å
α = 17.78°, β = 17.78°, γ = 17.78°
Element x y z (fractional)
Au 0.5023 0.5023 0.5023
Ta 0.7485 0.7485 0.7485
Zn 0.9982 0.9982 0.9982
Zn 0.2510 0.2510 0.2510

Computed properties:
- calculated volume (Å³/atom) = 16.76
- DFT total energy (eV per atom) = -4.355
- size of the total moment (μB per atom) = 0.000
- DOS at the Fermi energy (states/eV/cell) = 3.6
- ΔE_f (eV/atom) = 0.064
- polymorph energy (0 for the lowest one) (meV/atom) = 148